Record 1
First-principles (PBE) data for a geometry-optimized AcBH2O4 structure, as listed in the Alexandria database.

a b c (Å): 4.015 5.869 6.513
angles (deg): 90.00 90.00 90.00
Space group I222 (No. 23)
One atom of each set of equivalent atoms:
Ac1 0.000 0.000 0.000 (multiplicity 2)
B1 0.000 0.000 0.500 (multiplicity 2)
H1 0.000 0.500 0.139 (multiplicity 4)
O1 0.239 0.125 0.361 (multiplicity 8)

Calculated values
- magnetic moment (μB/f.u.) = 0.00
- calculated total energy (eV/cell) = -108.27

=====

Record 2
First-principles (PBE) data for a geometry-optimized Ac2BH3Pd6 structure, as listed in the Alexandria database.

a b c (Å): 10.481 6.048 6.035
angles (deg): 90.00 104.11 90.00
Space group C2/m (No. 12)
One atom of each set of equivalent atoms:
Ac1 0.207 0.000 0.315 (multiplicity 4)
B1 0.000 0.500 0.000 (multiplicity 2)
H1 0.000 0.000 0.500 (multiplicity 2)
H2 0.250 0.250 0.000 (multiplicity 4)
Pd1 0.042 0.255 0.753 (multiplicity 8)
Pd2 0.199 0.500 0.152 (multiplicity 4)

Calculated values
- magnetic moment (μB/f.u.) = 0.00
- calculated total energy (eV/cell) = -121.88

=====

Record 3
First-principles (PBE) data for a geometry-optimized Ac2BHPd6 structure, as listed in the Alexandria database.

a b c (Å): 8.751 8.918 6.117
angles (deg): 90.00 133.65 90.00
Space group C2/m (No. 12)
One atom of each set of equivalent atoms:
Ac1 0.000 0.245 0.000 (multiplicity 4)
B1 0.000 0.000 0.500 (multiplicity 2)
H1 0.000 0.500 0.500 (multiplicity 2)
Pd1 0.000 0.251 0.500 (multiplicity 4)
Pd2 0.238 0.500 0.491 (multiplicity 4)
Pd3 0.241 0.500 0.992 (multiplicity 4)

Calculated values
- magnetic moment (μB/f.u.) = 0.00
- calculated total energy (eV/cell) = -110.10

=====

In order of appearance, calculated density = 6574 9904 10618 kg/m3.